[1]
A plane-wave DFT calculation with meta-GGA SCAN was carried out for RbGe at its PBEsol-relaxed geometry.

The calculation puts the uncorrected energy at -40.32 eV per formula unit. As for the formation energy: -0.25 eV per atom.

It has space group I4_1/acd (No. 142, origin choice 2), with a = 10.942 Å, b = 10.942 Å, c = 17.829 Å, α = 90.00°, β = 90.00° and γ = 90.00°. The asymmetric unit holds Rb at (0.121, 0.129, 0.125), Rb at (0.143, 0.000, 0.750) and Ge at (0.061, 0.149, 0.926).

***

[2]
A plane-wave DFT calculation with meta-GGA SCAN was carried out for RbRe3Ge at its PBEsol-relaxed geometry.

The calculation puts the uncorrected energy at -230.90 eV per formula unit. As for the density of states at the Fermi level: 4.60 states/eV/cell. As for the formation energy: 4.44 eV per atom.

It has space group Pm-3m (No. 221), with a = 4.680 Å, b = 4.680 Å, c = 4.680 Å, α = 90.00°, β = 90.00° and γ = 90.00°. The asymmetric unit holds Rb at (0.000, 0.000, 0.000), Re at (0.000, 0.000, 0.500) and Ge at (0.500, 0.500, 0.500).

***

[3]
A plane-wave DFT calculation with meta-GGA SCAN was carried out for RbGeRh3 at its PBEsol-relaxed geometry.

The calculation puts the uncorrected energy at -138.72 eV per formula unit. As for the density of states at the Fermi level: 2.84 states/eV/cell. As for the formation energy: 0.48 eV per atom.

It has space group Pm-3m (No. 221), with a = 4.645 Å, b = 4.645 Å, c = 4.645 Å, α = 90.00°, β = 90.00° and γ = 90.00°. The asymmetric unit holds Rb at (0.000, 0.000, 0.000), Ge at (0.500, 0.500, 0.500) and Rh at (0.000, 0.500, 0.500).

***

[4]
A plane-wave DFT calculation with meta-GGA SCAN was carried out for Rb2SrGeRh at its PBEsol-relaxed geometry.

The calculation puts the uncorrected energy at -110.46 eV per formula unit. As for the density of states at the Fermi level: 2.92 states/eV/cell. As for the formation energy: 1.23 eV per atom.

It has space group P4/mmm (No. 123), with a = 6.801 Å, b = 6.801 Å, c = 5.403 Å, α = 90.00°, β = 90.00° and γ = 90.00°. The asymmetric unit holds Rb at (0.000, 0.500, 0.000), Sr at (0.000, 0.000, 0.000), Ge at (0.000, 0.000, 0.500) and Rh at (0.500, 0.500, 0.500).

***

[5]
A plane-wave DFT calculation with meta-GGA SCAN was carried out for Rb3GeRu at its PBEsol-relaxed geometry.

The calculation puts the uncorrected energy at -110.28 eV per formula unit. As for the density of states at the Fermi level: 1.94 states/eV/cell. As for the formation energy: 1.17 eV per atom.

It has space group Pm-3m (No. 221), with a = 5.770 Å, b = 5.770 Å, c = 5.770 Å, α = 90.00°, β = 90.00° and γ = 90.00°. The asymmetric unit holds Rb at (0.000, 0.000, 0.500), Ge at (0.500, 0.500, 0.500) and Ru at (0.000, 0.000, 0.000).

***

[6]
A plane-wave DFT calculation with meta-GGA SCAN was carried out for RbGeS3 at its PBEsol-relaxed geometry.

The uncorrected formation energy comes out at -244 meV/atom. The calculation puts the uncorrected energy at -69.93 eV per formula unit. As for the density of states at the Fermi level: 4.36 states/eV/cell.

It has space group Pm-3m (No. 221), with a = 4.827 Å, b = 4.827 Å, c = 4.827 Å, α = 90.00°, β = 90.00° and γ = 90.00°. The asymmetric unit holds Rb at (0.000, 0.000, 0.000), Ge at (0.500, 0.500, 0.500) and S at (0.000, 0.500, 0.500).

***

[7]
A plane-wave DFT calculation with meta-GGA SCAN was carried out for Rb3GeSb at its PBEsol-relaxed geometry.

The uncorrected formation energy comes out at 267 meV/atom. The calculation puts the uncorrected energy at -117.23 eV per formula unit. As for the density of states at the Fermi level: 2.70 states/eV/cell.

It has space group Pm-3m (No. 221), with a = 6.850 Å, b = 6.850 Å, c = 6.850 Å, α = 90.00°, β = 90.00° and γ = 90.00°. The asymmetric unit holds Rb at (0.000, 0.000, 0.500), Ge at (0.500, 0.500, 0.500) and Sb at (0.000, 0.000, 0.000).

***

[8]
A plane-wave DFT calculation with meta-GGA SCAN was carried out for RbGe3Sb at its PBEsol-relaxed geometry.

The uncorrected formation energy comes out at 628 meV/atom. The calculation puts the uncorrected energy at -112.12 eV per formula unit. As for the density of states at the Fermi level: 3.62 states/eV/cell.

It has space group Pm-3m (No. 221), with a = 5.409 Å, b = 5.409 Å, c = 5.409 Å, α = 90.00°, β = 90.00° and γ = 90.00°. The asymmetric unit holds Rb at (0.000, 0.000, 0.000), Ge at (0.000, 0.500, 0.500) and Sb at (0.500, 0.500, 0.500).

***

[9]
A plane-wave DFT calculation with meta-GGA SCAN was carried out for RbSi2Ge2 at its PBEsol-relaxed geometry.

The uncorrected formation energy comes out at 91 meV/atom. The calculation puts the uncorrected energy at -78.49 eV per formula unit. As for the density of states at the Fermi level: 1.38 states/eV/cell.

It has space group I4/mmm (No. 139), with a = 4.068 Å, b = 4.068 Å, c = 14.854 Å, α = 90.00°, β = 90.00° and γ = 90.00°. The asymmetric unit holds Rb at (0.000, 0.000, 0.000), Si at (0.000, 0.500, 0.250) and Ge at (0.000, 0.000, 0.352).

***

[10]
A plane-wave DFT calculation with meta-GGA SCAN was carried out for RbSn2Ge2 at its PBEsol-relaxed geometry.

The calculation puts the uncorrected energy at -131.06 eV per formula unit. As for the density of states at the Fermi level: 3.39 states/eV/cell. As for the formation energy: -0.06 eV per atom.

It has space group I4/mmm (No. 139), with a = 5.111 Å, b = 5.111 Å, c = 10.585 Å, α = 90.00°, β = 90.00° and γ = 90.00°. The asymmetric unit holds Rb at (0.000, 0.000, 0.000), Sn at (0.000, 0.000, 0.361) and Ge at (0.000, 0.500, 0.250).

***

[11]
A plane-wave DFT calculation with meta-GGA SCAN was carried out for RbSr3Ge at its PBEsol-relaxed geometry.

The calculation puts the uncorrected energy at -107.59 eV per formula unit. As for the density of states at the Fermi level: 4.09 states/eV/cell. As for the formation energy: -0.19 eV per atom.

It has space group Pm-3m (No. 221), with a = 6.255 Å, b = 6.255 Å, c = 6.255 Å, α = 90.00°, β = 90.00° and γ = 90.00°. The asymmetric unit holds Rb at (0.000, 0.000, 0.000), Sr at (0.000, 0.500, 0.500) and Ge at (0.500, 0.500, 0.500).

***

[12]
A plane-wave DFT calculation with meta-GGA SCAN was carried out for RbSrGe3 at its PBEsol-relaxed geometry.

The calculation puts the uncorrected energy at -94.64 eV per formula unit. As for the density of states at the Fermi level: 4.64 states/eV/cell. As for the formation energy: 1.13 eV per atom.

It has space group Pm-3m (No. 221), with a = 5.519 Å, b = 5.519 Å, c = 5.519 Å, α = 90.00°, β = 90.00° and γ = 90.00°. The asymmetric unit holds Rb at (0.000, 0.000, 0.000), Sr at (0.500, 0.500, 0.500) and Ge at (0.000, 0.000, 0.500).

***

- Among the records above, which one has the lowest uncorrected energy?
  RbRe3Ge